Record 1
First-principles (PBE-GGA) data for crystalline Rb3Nd2SmTe6 at its relaxed geometry, as listed in Alexandria via LeMat-Bulk.

```
Rb3Nd2SmTe6
1.0
4.014 -6.952 0.000
4.014 6.952 0.000
-2.678 0.000 8.572
Rb Nd Sm Te
3 2 1 6
Cartesian
0.000 0.000 0.000
4.014 2.330 0.000
4.014 -2.330 0.000
2.675 4.636 4.286
2.675 -4.636 4.286
2.675 0.000 4.286
1.349 2.299 2.535
0.021 0.000 6.040
1.349 -2.299 2.535
4.002 2.299 6.037
5.329 0.000 2.533
4.002 -2.299 6.037
```

Calculated values
formation energy from raw total energies = -1.406 eV/atom
crystal system = monoclinic
V = 39.871 Å³ per atom
symmetry = No. 12

Record 2
First-principles (PBE-GGA) data for crystalline AcLa2TmTe6 at its relaxed geometry, as listed in Alexandria via LeMat-Bulk.

```
AcLa2TmTe6
1.0
4.049 2.338 7.179
-4.049 2.338 7.179
0.000 -4.676 7.179
Ac La Tm Te
1 2 1 6
Cartesian
0.000 0.000 0.000
0.000 0.000 4.262
0.000 0.000 15.167
0.000 0.000 10.935
-1.131 -2.393 9.386
-2.358 0.075 12.923
-1.506 2.176 9.386
1.114 -2.080 12.923
2.638 0.217 9.386
1.244 2.005 12.923
```

Calculated values
formation energy from raw total energies = -1.461 eV/atom
crystal system = trigonal
V = 40.781 Å³ per atom
symmetry = No. 146

Record 3
First-principles (PBE-GGA) data for crystalline K3NaI at its relaxed geometry, as listed in Alexandria via LeMat-Bulk.

```
K3NaI
1.0
6.861 0.000 0.000
0.000 6.861 0.000
0.000 0.000 6.861
K Na I
3 1 1
Cartesian
0.000 0.000 3.431
0.000 3.431 0.000
3.431 0.000 0.000
3.431 3.431 3.431
0.000 0.000 0.000
```

Calculated values
formation energy from raw total energies = -0.476 eV/atom
crystal system = cubic
V = 64.596 Å³ per atom
energy above the most stable polymorph in this dataset = 0.0 kJ/mol of atoms
symmetry = No. 221